1.
# Gd2TmTe3 (PBE, relaxed)
# - Crystal system: trigonal
# - Magnetization: 0.009 Bohr magnetons per cell
data_Gd2TmTe3
_space_group_name_H-M_alt 'P -3 m 1'
_space_group_IT_number 164
_space_group_name_Hall '-P 3 2"'
_cell_length_a 4.3503
_cell_length_b 4.3503
_cell_length_c 10.7110
_cell_angle_alpha 90.00
_cell_angle_beta 90.00
_cell_angle_gamma 120.00
loop_
_atom_site_label
_atom_site_fract_x
_atom_site_fract_y
_atom_site_fract_z
Gd1 0.3333 0.6667 0.1687
Tm1 0.0000 0.0000 0.5000
Te1 0.0000 0.0000 0.0000
Te2 0.3333 0.6667 0.6596

2.
# BiB4W (PBE, relaxed)
# - Crystal system: orthorhombic
# - Magnetization: 0.000 Bohr magnetons per cell
# - Energy above the lowest structure with this stoichiometry: 473 meV per atom
data_BiB4W
_space_group_name_H-M_alt 'I m m m'
_space_group_IT_number 71
_space_group_name_Hall '-I 2 2'
_cell_length_a 3.097
_cell_length_b 5.519
_cell_length_c 7.626
_cell_angle_alpha 90.00
_cell_angle_beta 90.00
_cell_angle_gamma 90.00
loop_
_atom_site_label
_atom_site_fract_x
_atom_site_fract_y
_atom_site_fract_z
Bi1 0.000 0.000 0.000
B1 0.000 0.337 0.241
W1 0.000 0.000 0.500

3.
# CoBiOsW (PBE, relaxed)
# - Crystal system: cubic
# - Magnetization: 8.317 Bohr magnetons per cell
# - Energy above the lowest structure with this stoichiometry: 0 meV per atom
data_CoBiOsW
_space_group_name_H-M_alt 'F -4 3 m'
_space_group_IT_number 216
_space_group_name_Hall 'F -4 2 3'
_cell_length_a 6.405
_cell_length_b 6.405
_cell_length_c 6.405
_cell_angle_alpha 90.00
_cell_angle_beta 90.00
_cell_angle_gamma 90.00
loop_
_atom_site_label
_atom_site_fract_x
_atom_site_fract_y
_atom_site_fract_z
Co1 0.000 0.000 0.000
Bi1 0.250 0.250 0.750
Os1 0.000 0.000 0.500
W1 0.250 0.250 0.250

4.
# InFeCoPt (PBE, relaxed)
# - Crystal system: cubic
# - Magnetization: 19.272 Bohr magnetons per cell
# - Energy above the lowest structure with this stoichiometry: 0 meV per atom
data_InFeCoPt
_space_group_name_H-M_alt 'F -4 3 m'
_space_group_IT_number 216
_space_group_name_Hall 'F -4 2 3'
_cell_length_a 6.215
_cell_length_b 6.215
_cell_length_c 6.215
_cell_angle_alpha 90.00
_cell_angle_beta 90.00
_cell_angle_gamma 90.00
loop_
_atom_site_label
_atom_site_fract_x
_atom_site_fract_y
_atom_site_fract_z
In1 0.000 0.000 0.000
Fe1 0.000 0.000 0.500
Co1 0.250 0.250 0.250
Pt1 0.250 0.250 0.750

5.
# Nb9P2O25 (PBE, relaxed)
# - Crystal system: tetragonal
# - Magnetization: 1.073 Bohr magnetons per cell
data_Nb9P2O25
_space_group_name_H-M_alt 'I 4/m'
_space_group_IT_number 87
_space_group_name_Hall '-I 4'
_cell_length_a 16.018
_cell_length_b 16.018
_cell_length_c 3.868
_cell_angle_alpha 90.00
_cell_angle_beta 90.00
_cell_angle_gamma 90.00
loop_
_atom_site_label
_atom_site_fract_x
_atom_site_fract_y
_atom_site_fract_z
Nb1 0.000 0.000 0.000
Nb2 0.096 0.779 0.000
Nb3 0.126 0.316 0.000
P1 0.000 0.500 0.250
O1 0.000 0.000 0.500
O2 0.016 0.280 0.000
O3 0.048 0.883 0.000
O4 0.056 0.585 0.500
O5 0.111 0.750 0.500
O6 0.148 0.343 0.500
O7 0.180 0.212 0.000

6.
# HoCdAuSe3 (PBE, relaxed)
# - Crystal system: monoclinic
# - Magnetization: 0.009 Bohr magnetons per cell
# - Energy above the lowest structure with this stoichiometry: 0 meV per atom
data_HoCdAuSe3
_space_group_name_H-M_alt 'P 1 21/m 1'
_space_group_IT_number 11
_cell_length_a 7.737
_cell_length_b 4.054
_cell_length_c 9.415
_cell_angle_alpha 90.00
_cell_angle_beta 101.36
_cell_angle_gamma 90.00
loop_
_space_group_symop_operation_xyz
'x,y,z'
'-x,-y,-z'
'-x,y+1/2,-z'
'x,-y+1/2,z'
loop_
_atom_site_label
_atom_site_fract_x
_atom_site_fract_y
_atom_site_fract_z
Ho1 0.197 0.250 0.179
Cd1 0.251 0.750 0.722
Au1 0.373 0.750 0.448
Se1 0.087 0.250 0.865
Se2 0.164 0.250 0.474
Se3 0.450 0.750 0.180

Calculated volume (Å³/atom)
29.3, 10.9, 16.4, 15.0, 13.8, 24.1
DFT total energy (eV per atom)
-5.15, -6.60, -8.00, -6.10, -8.45, -4.06